NdY3Ho6: optimized geometry, PBE.

Geometry as POSCAR:
```
NdY3Ho6
1.0
6.1643 0.0000 0.0000
0.0000 10.8647 -1.5825
0.0000 -3.9670 10.2376
Nd Y Ho
2 6 12
Direct
0.1504 0.2079 0.7921
0.6504 0.7921 0.2079
0.4594 0.9360 0.7192
0.9594 0.7192 0.9360
0.0682 0.3908 0.6092
0.5682 0.6092 0.3908
0.9594 0.0640 0.2808
0.4594 0.2808 0.0640
0.0277 0.7123 0.6174
0.5277 0.6174 0.7123
0.3666 0.5404 0.9630
0.8666 0.9630 0.5404
0.4224 0.9526 0.0474
0.6370 0.2843 0.7157
0.1370 0.7157 0.2843
0.9224 0.0474 0.9526
0.3666 0.0370 0.4596
0.8666 0.4596 0.0370
0.0277 0.3826 0.2877
0.5277 0.2877 0.3826
```

Properties
Energy above the lowest structure with this stoichiometry   0 meV per atom
ΔH_f (0 K)   0.142 eV per atom
E   -100.4 eV/cell
Size of the total moment   0.00 μB per formula unit